# LiOsRh

LiOsRh after structural relaxation (PBE, Alexandria via LeMat-Bulk).

Summary:
The value obtained for the mass density is 12.4 Mg/m³. As for the polymorph energy (0 for the lowest one): 96 meV per atom. The formation energy comes out at 0.0861 eV/atom.

a = 4.657 Å, b = 4.422 Å, c = 7.797 Å
α = 90.00°, β = 90.00°, γ = 90.00°
Fractional coordinates of all 12 atoms:
Li 0.160 0.250 0.013
Li 0.340 0.750 0.513
Li 0.660 0.250 0.487
Li 0.840 0.750 0.987
Os 0.164 0.250 0.680
Os 0.336 0.750 0.180
Os 0.664 0.250 0.820
Os 0.836 0.750 0.320
Rh 0.163 0.250 0.351
Rh 0.337 0.750 0.851
Rh 0.663 0.250 0.149
Rh 0.837 0.750 0.649